Record 1
RbPaRhSe4 | GGA-PBE | optimized geometry

Cell and atoms, written as CIF:
```
data_RbPaRhSe4
_chemical_formula_sum 'Rb2 Pa2 Rh2 Se8'
_cell_length_a 6.867
_cell_length_b 6.235
_cell_length_c 9.423
_cell_angle_alpha 90.00
_cell_angle_beta 103.07
_cell_angle_gamma 90.00
_symmetry_space_group_name_H-M 'P 1 21/m 1'
_symmetry_Int_Tables_number 11
loop_
_symmetry_equiv_pos_as_xyz
'x,y,z'
'-x,-y,-z'
'-x,y+1/2,-z'
'x,-y+1/2,z'
loop_
_atom_site_label
_atom_site_type_symbol
_atom_site_fract_x
_atom_site_fract_y
_atom_site_fract_z
_atom_site_occupancy
Rb1 Rb 0.239 0.250 0.036 1
Pa1 Pa 0.255 0.250 0.542 1
Rh1 Rh 0.245 0.750 0.393 1
Se1 Se 0.016 0.506 0.699 1
Se2 Se 0.446 0.750 0.205 1
Se3 Se 0.464 0.750 0.628 1
```

Results
calculated volume: 393 Å³/cell
total DFT energy (no corrections): -5.503 eV/atom
energy relative to the elements, uncorrected: -0.9673 eV/atom

---

Record 2
RbPaTe3Rh | GGA-PBE | optimized geometry

Cell and atoms, written as CIF:
```
data_RbPaTe3Rh
_chemical_formula_sum 'Rb2 Pa2 Te6 Rh2'
_cell_length_a 10.069
_cell_length_b 4.177
_cell_length_c 11.003
_cell_angle_alpha 90.00
_cell_angle_beta 117.00
_cell_angle_gamma 90.00
_symmetry_space_group_name_H-M 'P 1 21/m 1'
_symmetry_Int_Tables_number 11
loop_
_symmetry_equiv_pos_as_xyz
'x,y,z'
'-x,-y,-z'
'-x,y+1/2,-z'
'x,-y+1/2,z'
loop_
_atom_site_label
_atom_site_type_symbol
_atom_site_fract_x
_atom_site_fract_y
_atom_site_fract_z
_atom_site_occupancy
Rb1 Rb 0.012 0.250 0.255 1
Pa1 Pa 0.468 0.250 0.181 1
Te1 Te 0.224 0.750 0.130 1
Te2 Te 0.324 0.750 0.511 1
Te3 Te 0.325 0.250 0.858 1
Rh1 Rh 0.485 0.750 0.368 1
```

Results
calculated volume: 412 Å³/cell
total DFT energy (no corrections): -5.362 eV/atom
energy relative to the elements, uncorrected: -0.8224 eV/atom

---

Record 3
Rb2PaS3 | GGA-PBE | optimized geometry

Cell and atoms, written as CIF:
```
data_Rb2PaS3
_chemical_formula_sum 'Rb8 Pa4 S12'
_cell_length_a 12.956
_cell_length_b 8.941
_cell_length_c 7.398
_cell_angle_alpha 90.00
_cell_angle_beta 90.00
_cell_angle_gamma 90.00
_symmetry_space_group_name_H-M 'C m c m'
_symmetry_Int_Tables_number 63
_symmetry_space_group_name_Hall '-C 2c 2'
loop_
_atom_site_label
_atom_site_type_symbol
_atom_site_fract_x
_atom_site_fract_y
_atom_site_fract_z
_atom_site_occupancy
Rb1 Rb 0.162 0.157 0.250 1
Pa1 Pa 0.000 0.412 0.750 1
S1 S 0.000 0.131 0.750 1
S2 S 0.139 0.500 0.000 1
```

Results
calculated volume: 857 Å³/cell
total DFT energy (no corrections): -5.373 eV/atom
energy relative to the elements, uncorrected: -1.4037 eV/atom

---

Record 4
RbPa2S4 | GGA-PBE | optimized geometry

Cell and atoms, written as CIF:
```
data_RbPa2S4
_chemical_formula_sum 'Rb1 Pa2 S4'
_cell_length_a 6.867
_cell_length_b 4.038
_cell_length_c 8.410
_cell_angle_alpha 90.00
_cell_angle_beta 106.25
_cell_angle_gamma 90.00
_symmetry_space_group_name_H-M 'P 1 2/m 1'
_symmetry_Int_Tables_number 10
loop_
_symmetry_equiv_pos_as_xyz
'x,y,z'
'-x,-y,-z'
'-x,y,-z'
'x,-y,z'
loop_
_atom_site_label
_atom_site_type_symbol
_atom_site_fract_x
_atom_site_fract_y
_atom_site_fract_z
_atom_site_occupancy
Rb1 Rb 0.000 0.000 0.000 1
Pa1 Pa 0.000 0.500 0.500 1
Pa2 Pa 0.500 0.000 0.500 1
S1 S 0.226 0.000 0.685 1
S2 S 0.270 0.500 0.311 1
```

Results
calculated volume: 224 Å³/cell
total DFT energy (no corrections): -6.756 eV/atom
energy relative to the elements, uncorrected: -1.5462 eV/atom

---

Record 5
Rb2Pa2S5 | GGA-PBE | optimized geometry

Cell and atoms, written as CIF:
```
data_Rb2Pa2S5
_chemical_formula_sum 'Rb4 Pa4 S10'
_cell_length_a 13.981
_cell_length_b 5.441
_cell_length_c 8.301
_cell_angle_alpha 90.00
_cell_angle_beta 122.36
_cell_angle_gamma 90.00
_symmetry_space_group_name_H-M 'C 1 2/m 1'
_symmetry_Int_Tables_number 12
loop_
_symmetry_equiv_pos_as_xyz
'x,y,z'
'-x,-y,-z'
'-x,y,-z'
'x,-y,z'
'x+1/2,y+1/2,z'
'-x+1/2,-y+1/2,-z'
'-x+1/2,y+1/2,-z'
'x+1/2,-y+1/2,z'
loop_
_atom_site_label
_atom_site_type_symbol
_atom_site_fract_x
_atom_site_fract_y
_atom_site_fract_z
_atom_site_occupancy
Rb1 Rb 0.128 0.000 0.459 1
Pa1 Pa 0.111 0.500 0.897 1
S1 S 0.000 0.500 0.500 1
S2 S 0.112 0.500 0.216 1
S3 S 0.151 0.000 0.911 1
```

Results
calculated volume: 533 Å³/cell
total DFT energy (no corrections): -6.102 eV/atom
energy relative to the elements, uncorrected: -1.4838 eV/atom

---

Record 6
RbPa5S12 | GGA-PBE | optimized geometry

Cell and atoms, written as CIF:
```
data_RbPa5S12
_chemical_formula_sum 'Rb2 Pa10 S24'
_cell_length_a 8.582
_cell_length_b 10.406
_cell_length_c 10.659
_cell_angle_alpha 90.00
_cell_angle_beta 90.00
_cell_angle_gamma 90.00
_symmetry_space_group_name_H-M 'I m m m'
_symmetry_Int_Tables_number 71
_symmetry_space_group_name_Hall '-I 2 2'
loop_
_atom_site_label
_atom_site_type_symbol
_atom_site_fract_x
_atom_site_fract_y
_atom_site_fract_z
_atom_site_occupancy
Rb1 Rb 0.000 0.000 0.000 1
Pa1 Pa 0.000 0.000 0.500 1
Pa2 Pa 0.000 0.343 0.500 1
Pa3 Pa 0.000 0.500 0.149 1
S1 S 0.000 0.180 0.317 1
S2 S 0.185 0.500 0.347 1
S3 S 0.193 0.349 0.000 1
```

Results
calculated volume: 952 Å³/cell
total DFT energy (no corrections): -6.773 eV/atom
energy relative to the elements, uncorrected: -1.3297 eV/atom

---

Record 7
Rb2PaS4 | GGA-PBE | optimized geometry

Cell and atoms, written as CIF:
```
data_Rb2PaS4
_chemical_formula_sum 'Rb8 Pa4 S16'
_cell_length_a 8.844
_cell_length_b 8.844
_cell_length_c 9.573
_cell_angle_alpha 90.00
_cell_angle_beta 90.00
_cell_angle_gamma 90.00
_symmetry_space_group_name_H-M 'I -4 2 d'
_symmetry_Int_Tables_number 122
_symmetry_space_group_name_Hall 'I -4 2bw'
loop_
_atom_site_label
_atom_site_type_symbol
_atom_site_fract_x
_atom_site_fract_y
_atom_site_fract_z
_atom_site_occupancy
Rb1 Rb 0.091 0.250 0.125 1
Pa1 Pa 0.000 0.000 0.500 1
S1 S 0.057 0.201 0.761 1
```

Results
calculated volume: 749 Å³/cell
total DFT energy (no corrections): -5.096 eV/atom
energy relative to the elements, uncorrected: -1.1041 eV/atom

---

Record 8
Rb2PaS5 | GGA-PBE | optimized geometry

Cell and atoms, written as CIF:
```
data_Rb2PaS5
_chemical_formula_sum 'Rb4 Pa2 S10'
_cell_length_a 13.639
_cell_length_b 5.478
_cell_length_c 8.487
_cell_angle_alpha 90.00
_cell_angle_beta 116.74
_cell_angle_gamma 90.00
_symmetry_space_group_name_H-M 'C 1 m 1'
_symmetry_Int_Tables_number 8
loop_
_symmetry_equiv_pos_as_xyz
'x,y,z'
'x,-y,z'
'x+1/2,y+1/2,z'
'x+1/2,-y+1/2,z'
loop_
_atom_site_label
_atom_site_type_symbol
_atom_site_fract_x
_atom_site_fract_y
_atom_site_fract_z
_atom_site_occupancy
Rb1 Rb 0.000 0.000 0.000 1
Rb2 Rb 0.137 0.500 0.664 1
Pa1 Pa 0.347 0.500 0.351 1
S1 S 0.042 0.000 0.406 1
S2 S 0.258 0.215 0.079 1
S3 S 0.363 0.196 0.604 1
```

Results
calculated volume: 566 Å³/cell
total DFT energy (no corrections): -5.010 eV/atom
energy relative to the elements, uncorrected: -1.0018 eV/atom

---

Record 9
Rb3PaS4 | GGA-PBE | optimized geometry

Cell and atoms, written as CIF:
```
data_Rb3PaS4
_chemical_formula_sum 'Rb6 Pa2 S8'
_cell_length_a 9.220
_cell_length_b 13.165
_cell_length_c 4.286
_cell_angle_alpha 90.00
_cell_angle_beta 90.00
_cell_angle_gamma 90.00
_symmetry_space_group_name_H-M 'C m m m'
_symmetry_Int_Tables_number 65
_symmetry_space_group_name_Hall '-C 2 2'
loop_
_atom_site_label
_atom_site_type_symbol
_atom_site_fract_x
_atom_site_fract_y
_atom_site_fract_z
_atom_site_occupancy
Rb1 Rb 0.000 0.000 0.000 1
Rb2 Rb 0.250 0.250 0.500 1
Pa1 Pa 0.000 0.500 0.000 1
S1 S 0.000 0.306 0.000 1
S2 S 0.194 0.500 0.500 1
```

Results
calculated volume: 520 Å³/cell
total DFT energy (no corrections): -5.051 eV/atom
energy relative to the elements, uncorrected: -1.4373 eV/atom

---

Record 10
Rb2Pa3S6 | GGA-PBE | optimized geometry

Cell and atoms, written as CIF:
```
data_Rb2Pa3S6
_chemical_formula_sum 'Rb4 Pa6 S12'
_cell_length_a 6.929
_cell_length_b 11.989
_cell_length_c 8.328
_cell_angle_alpha 90.00
_cell_angle_beta 105.97
_cell_angle_gamma 90.00
_symmetry_space_group_name_H-M 'C 1 2/m 1'
_symmetry_Int_Tables_number 12
loop_
_symmetry_equiv_pos_as_xyz
'x,y,z'
'-x,-y,-z'
'-x,y,-z'
'x,-y,z'
'x+1/2,y+1/2,z'
'-x+1/2,-y+1/2,-z'
'-x+1/2,y+1/2,-z'
'x+1/2,-y+1/2,z'
loop_
_atom_site_label
_atom_site_type_symbol
_atom_site_fract_x
_atom_site_fract_y
_atom_site_fract_z
_atom_site_occupancy
Rb1 Rb 0.000 0.167 0.000 1
Pa1 Pa 0.000 0.000 0.500 1
Pa2 Pa 0.000 0.336 0.500 1
S1 S 0.229 0.168 0.691 1
S2 S 0.233 0.500 0.694 1
```

Results
calculated volume: 665 Å³/cell
total DFT energy (no corrections): -6.541 eV/atom
energy relative to the elements, uncorrected: -1.5244 eV/atom

---

Record 11
Rb4Pa3S10 | GGA-PBE | optimized geometry

Cell and atoms, written as CIF:
```
data_Rb4Pa3S10
_chemical_formula_sum 'Rb8 Pa6 S20'
_cell_length_a 5.296
_cell_length_b 5.296
_cell_length_c 37.915
_cell_angle_alpha 90.00
_cell_angle_beta 90.00
_cell_angle_gamma 90.00
_symmetry_space_group_name_H-M 'I 4/m m m'
_symmetry_Int_Tables_number 139
_symmetry_space_group_name_Hall '-I 4 2'
loop_
_atom_site_label
_atom_site_type_symbol
_atom_site_fract_x
_atom_site_fract_y
_atom_site_fract_z
_atom_site_occupancy
Rb1 Rb 0.000 0.000 0.070 1
Rb2 Rb 0.000 0.000 0.204 1
Pa1 Pa 0.000 0.000 0.360 1
Pa2 Pa 0.000 0.000 0.500 1
S1 S 0.000 0.000 0.294 1
S2 S 0.000 0.000 0.431 1
S3 S 0.000 0.500 0.000 1
S4 S 0.000 0.500 0.137 1
```

Results
calculated volume: 1064 Å³/cell
total DFT energy (no corrections): -5.805 eV/atom
energy relative to the elements, uncorrected: -1.4736 eV/atom

---

Record 12
RbPa2S6 | GGA-PBE | optimized geometry

Cell and atoms, written as CIF:
```
data_RbPa2S6
_chemical_formula_sum 'Rb2 Pa4 S12'
_cell_length_a 13.655
_cell_length_b 5.394
_cell_length_c 10.266
_cell_angle_alpha 90.00
_cell_angle_beta 123.43
_cell_angle_gamma 90.00
_symmetry_space_group_name_H-M 'C 1 2/m 1'
_symmetry_Int_Tables_number 12
loop_
_symmetry_equiv_pos_as_xyz
'x,y,z'
'-x,-y,-z'
'-x,y,-z'
'x,-y,z'
'x+1/2,y+1/2,z'
'-x+1/2,-y+1/2,-z'
'-x+1/2,y+1/2,-z'
'x+1/2,-y+1/2,z'
loop_
_atom_site_label
_atom_site_type_symbol
_atom_site_fract_x
_atom_site_fract_y
_atom_site_fract_z
_atom_site_occupancy
Rb1 Rb 0.000 0.000 0.000 1
Pa1 Pa 0.173 0.000 0.578 1
S1 S 0.034 0.000 0.681 1
S2 S 0.164 0.500 0.146 1
S3 S 0.200 0.500 0.553 1
```

Results
calculated volume: 631 Å³/cell
total DFT energy (no corrections): -6.250 eV/atom
energy relative to the elements, uncorrected: -1.2807 eV/atom